Entry 1:
VASP calculation (GGA-PBE) on a geometry-optimized Er4BiPb2 structure.

a b c (Å): 8.075 8.075 8.075
angles (deg): 109.43 109.43 109.55
Fractional coordinates of all 14 atoms:
Pb  0.497  0.875  0.122
Pb  0.625  0.503  0.378
Pb  0.125  0.247  0.622
Pb  0.753  0.375  0.878
Er  0.871  0.268  0.250
Er  0.378  0.129  0.397
Er  0.872  0.768  0.250
Er  0.232  0.482  0.103
Er  0.518  0.621  0.750
Er  0.018  0.621  0.750
Er  0.732  0.982  0.603
Er  0.379  0.128  0.897
Bi  0.250  0.750  0.500
Bi  0.000  0.000  0.000

Properties
Space-group type: I-42d
Polymorph energy (0 for the lowest one): 0.000 eV/f.u.
M_tot: 0.04 μB per cell
DFT formation energy: -0.5610 eV per atom
Calculated volume: 28.95 Å³/atom



Entry 2:
VASP calculation (GGA-PBE) on a geometry-optimized TaBe2CdSe structure.

a b c (Å): 4.221 5.301 4.221
angles (deg): 90.00 90.00 90.00
Each line ends with the local moment (μB).
Fractional coordinates of all 5 atoms:
Cd  0.000  0.500  0.000  0.01
Se  0.000  0.000  0.000  0.07
Ta  0.500  0.500  0.500  0.94
Be  0.500  0.000  0.000  0.02
Be  0.000  0.000  0.500  0.01

Properties
Formation energy (no corrections): 1.310 eV per atom
Space-group type: P4/mmm
M_tot: 1.64 μB per cell
Calculated volume: 18.89 Å³/atom



Entry 3:
VASP calculation (GGA-PBE) on a geometry-optimized AlHgCl5 structure.

a b c (Å): 6.823 8.240 9.465
angles (deg): 110.54 108.88 93.14
Fractional coordinates of all 14 atoms:
Cl  0.810  0.743  0.094
Cl  0.190  0.257  0.906
Cl  0.268  0.693  0.382
Cl  0.839  0.814  0.499
Cl  0.178  0.615  0.772
Cl  0.658  0.973  0.810
Cl  0.161  0.186  0.501
Cl  0.732  0.307  0.618
Cl  0.822  0.385  0.228
Cl  0.342  0.027  0.190
Al  0.086  0.341  0.710
Al  0.914  0.659  0.290
Hg  0.500  0.000  0.000
Hg  0.500  0.000  0.500

Properties
Formation energy (no corrections): -1.103 eV per atom
Space-group type: P-1
M_tot: 0.00 μB per cell
Calculated volume: 33.07 Å³/atom



Entry 4:
VASP calculation (GGA-PBE) on a geometry-optimized K2PuCl3F3 structure.

a b c (Å): 3.751 7.715 7.715
angles (deg): 120.00 90.00 90.00
Each line ends with the local moment (μB).
Fractional coordinates of all 9 atoms:
K  0.500  0.333  0.667  0.00
K  0.500  0.667  0.333  0.00
Cl  0.000  0.000  0.361  -0.04
Cl  0.000  0.361  0.000  -0.04
Cl  0.000  0.639  0.639  -0.04
F  0.500  0.811  0.000  -0.03
F  0.500  0.189  0.189  -0.03
F  0.500  0.000  0.811  -0.03
Pu  0.000  0.000  0.000  4.21

Properties
Formation energy (no corrections): -2.465 eV per atom
Space-group type: P-62m
M_tot: 4.00 μB per cell
Calculated volume: 21.48 Å³/atom



Entry 5:
VASP calculation (GGA-PBE) on a geometry-optimized DyNiHg structure.

a b c (Å): 3.930 5.133 6.551
angles (deg): 100.67 107.45 90.00
Fractional coordinates of all 6 atoms:
Dy  0.134  0.313  0.267
Dy  0.866  0.687  0.733
Hg  0.423  0.223  0.845
Hg  0.577  0.777  0.155
Ni  0.231  0.856  0.462
Ni  0.769  0.144  0.538

Properties
Space-group type: C2/m
M_tot: 0.00 μB per cell
DFT formation energy: -0.3929 eV per atom
Calculated volume: 20.61 Å³/atom



Entry 6:
VASP calculation (GGA-PBE) on a geometry-optimized Ac2YGa3Au4 structure.

a b c (Å): 4.540 4.540 11.643
angles (deg): 90.00 90.00 90.00
Fractional coordinates of all 10 atoms:
Au  0.500  0.000  0.656
Au  0.000  0.500  0.344
Au  0.500  0.500  0.000
Au  0.000  0.000  0.000
Ga  0.000  0.500  0.121
Ga  0.000  0.000  0.500
Ga  0.500  0.000  0.879
Ac  0.500  0.000  0.224
Ac  0.000  0.500  0.776
Y  0.500  0.500  0.500

Properties
Space-group type: P-4m2
M_tot: 0.00 μB per cell
DFT formation energy: -0.6950 eV per atom
Calculated volume: 24.00 Å³/atom



Entry 7:
VASP calculation (GGA-PBE) on a geometry-optimized LaEr2Mg2 structure.

a b c (Å): 3.776 5.522 14.106
angles (deg): 90.00 97.70 90.00
Fractional coordinates of all 10 atoms:
Mg  0.641  0.750  0.281
Mg  0.451  0.750  0.902
Mg  0.359  0.250  0.719
Mg  0.549  0.250  0.098
La  0.151  0.250  0.300
La  0.849  0.750  0.700
Er  0.237  0.750  0.475
Er  0.046  0.750  0.092
Er  0.763  0.250  0.525
Er  0.954  0.250  0.908

Properties
Space-group type: P2_1/m
M_tot: 0.00 μB per cell
DFT formation energy: -0.0554 eV per atom
Calculated volume: 29.15 Å³/atom



Entry 8:
VASP calculation (GGA-PBE) on a geometry-optimized AcTbSi2Pt5 structure.

a b c (Å): 4.343 4.343 9.005
angles (deg): 90.00 90.00 90.00
Fractional coordinates of all 9 atoms:
Si  0.500  0.500  0.132
Si  0.500  0.500  0.868
Ac  0.000  0.000  0.500
Pt  0.000  0.500  0.750
Pt  0.500  0.500  0.500
Pt  0.000  0.500  0.250
Pt  0.500  0.000  0.750
Pt  0.500  0.000  0.250
Tb  0.000  0.000  0.000

Properties
Formation energy (no corrections): -0.987 eV per atom
Space-group type: P4/mmm
M_tot: 0.00 μB per cell
Calculated volume: 18.87 Å³/atom



Entry 9:
VASP calculation (GGA-PBE) on a geometry-optimized Tb4URu4 structure.

a b c (Å): 5.783 7.987 9.138
angles (deg): 98.40 90.00 90.00
Fractional coordinates of all 18 atoms:
U  0.695  0.250  0.250
U  0.305  0.750  0.750
Ru  0.637  0.027  0.391
Ru  0.119  0.656  0.515
Ru  0.363  0.973  0.609
Ru  0.637  0.473  0.109
Ru  0.119  0.844  0.985
Ru  0.363  0.527  0.891
Ru  0.881  0.156  0.015
Ru  0.881  0.344  0.485
Tb  0.135  0.519  0.189
Tb  0.632  0.666  0.421
Tb  0.865  0.019  0.689
Tb  0.368  0.334  0.579
Tb  0.368  0.166  0.921
Tb  0.632  0.834  0.079
Tb  0.865  0.481  0.811
Tb  0.135  0.981  0.311

Properties
Space-group type: P2/c
M_tot: 0.00 μB per cell
DFT formation energy: -0.3568 eV per atom
Calculated volume: 23.20 Å³/atom



Entry 10:
VASP calculation (GGA-PBE) on a geometry-optimized TaTi2Sb4 structure.

a b c (Å): 3.817 6.985 7.425
angles (deg): 117.51 104.89 90.00
Fractional coordinates of all 7 atoms:
Ta  0.000  0.000  0.000
Sb  0.117  0.773  0.234
Sb  0.620  0.318  0.241
Sb  0.380  0.682  0.759
Sb  0.883  0.227  0.766
Ti  0.242  0.226  0.484
Ti  0.758  0.774  0.516

Properties
Formation energy (no corrections): -0.193 eV per atom
Space-group type: C2/m
M_tot: 0.00 μB per cell
Calculated volume: 24.01 Å³/atom



Entry 11:
VASP calculation (GGA-PBE) on a geometry-optimized PrCdH structure.

a b c (Å): 3.929 3.929 5.084
angles (deg): 90.00 90.00 120.00
Each line ends with the local moment (μB).
Fractional coordinates of all 3 atoms:
H  0.333  0.667  0.498  0.00
Cd  0.000  0.000  0.001  0.02
Pr  0.667  0.333  0.501  0.07

Properties
Space-group type: P3m1
Polymorph energy (0 for the lowest one): 0.000 eV/f.u.
M_tot: 0.22 μB per cell
Calculated volume: 22.65 Å³/atom



Entry 12:
VASP calculation (GGA-PBE) on a geometry-optimized Tl4AgBr6 structure.

a b c (Å): 9.001 9.001 8.984
angles (deg): 90.00 90.00 90.00
Fractional coordinates of all 22 atoms:
Br  0.000  0.000  0.790
Br  0.304  0.870  0.500
Br  0.130  0.304  0.500
Br  0.500  0.500  0.290
Br  0.630  0.196  0.000
Br  0.804  0.630  0.000
Br  0.870  0.696  0.500
Br  0.500  0.500  0.710
Br  0.196  0.370  0.000
Br  0.000  0.000  0.210
Br  0.370  0.804  0.000
Br  0.696  0.130  0.500
Tl  0.845  0.345  0.250
Tl  0.655  0.845  0.750
Tl  0.655  0.845  0.250
Tl  0.155  0.655  0.750
Tl  0.155  0.655  0.250
Tl  0.345  0.155  0.250
Tl  0.345  0.155  0.750
Tl  0.845  0.345  0.750
Ag  0.500  0.500  0.000
Ag  0.000  0.000  0.500

Properties
Formation energy (no corrections): -0.669 eV per atom
Space-group type: P4/mnc
M_tot: 0.00 μB per cell
Calculated volume: 33.08 Å³/atom